Compound: TcOs2Au
Source: Alexandria via LeMat-Bulk
Functional: GGA-PBEsol
Structure: relaxed

```
4
Lattice="-1.869 1.824 -0.695 -2.503 -1.266 3.413 4.553 3.316 1.710" Properties=species:S:1:pos:R:3 pbc="T T T"
Au 0.082 2.456 0.971
Tc -1.964 0.616 1.647
Os 0.018 1.295 3.352
Os 0.041 3.662 4.247
```

Calculated values
crystal system = orthorhombic
energy above the most stable polymorph in this dataset = 261.3 meV per atom
ΔE_f = 0.59 eV/atom
total moment = 0.0 μB per cell
space group = Imm2

***

Compound: Ni2AgC2
Source: Alexandria via LeMat-Bulk
Functional: GGA-PBEsol
Structure: relaxed

```
5
Lattice="3.528 0.000 0.000 0.000 3.528 0.000 -1.764 -1.764 3.771" Properties=species:S:1:pos:R:3 pbc="T T T"
Ni 1.764 0.000 1.886
Ni 0.000 1.764 1.886
C 0.000 0.000 3.045
C 1.764 1.764 0.726
Ag 0.000 0.000 0.000
```

Calculated values
crystal system = tetragonal
ΔE_f = 0.59 eV/atom
total moment = 0.0 μB per cell
space group = I4/mmm